Record 1
A plane-wave DFT calculation with PBE-GGA was carried out for a relaxed structure of Li3NiRh3.

DOS at the Fermi energy: 1.05 states/eV per atom
ΔE_f: 0.080 eV/atom
Total magnetization: 0.0 μB per formula unit

The structure in CIF format:
```
data_Li3NiRh3
_space_group_name_H-M_alt 'R 3 m'
_space_group_IT_number 160
_space_group_name_Hall 'R 3 -2"'
_cell_length_a 7.2181
_cell_length_b 7.2181
_cell_length_c 6.1675
_cell_angle_alpha 90.00
_cell_angle_beta 90.00
_cell_angle_gamma 120.00
loop_
_atom_site_label
_atom_site_type_symbol
_atom_site_fract_x
_atom_site_fract_y
_atom_site_fract_z
Li1 Li 0.1013 0.5506 0.0000
Ni1 Ni 0.0000 0.0000 0.0270
Rh1 Rh 0.0584 0.5292 0.4108
```

Record 2
A plane-wave DFT calculation with PBE-GGA was carried out for a relaxed structure of CoTe2As.

DOS at the Fermi energy: 0.64 states/eV per atom
Total magnetization: 0.0 μB per formula unit
Energy relative to the elements, uncorrected: -18 meV per atom

The structure in CIF format:
```
data_CoTe2As
_space_group_name_H-M_alt 'A m m 2'
_space_group_IT_number 38
_space_group_name_Hall 'A 2 -2'
_cell_length_a 3.691
_cell_length_b 5.101
_cell_length_c 9.179
_cell_angle_alpha 90.00
_cell_angle_beta 90.00
_cell_angle_gamma 90.00
loop_
_atom_site_label
_atom_site_type_symbol
_atom_site_fract_x
_atom_site_fract_y
_atom_site_fract_z
Co1 Co 0.000 0.000 0.000
Te1 Te 0.000 0.000 0.507
Te2 Te 0.500 0.000 0.195
As1 As 0.500 0.000 0.837
```

Record 3
A plane-wave DFT calculation with PBE-GGA was carried out for a relaxed structure of TiH2Ir2.

DOS at the Fermi energy: 0.23 states/eV per atom
Total magnetization: 0.0 μB per formula unit
ΔE to the lowest computed polymorph: 0 meV per atom

The structure in CIF format:
```
data_TiH2Ir2
_space_group_name_H-M_alt 'I 4/m m m'
_space_group_IT_number 139
_space_group_name_Hall '-I 4 2'
_cell_length_a 3.975
_cell_length_b 3.975
_cell_length_c 7.014
_cell_angle_alpha 90.00
_cell_angle_beta 90.00
_cell_angle_gamma 90.00
loop_
_atom_site_label
_atom_site_type_symbol
_atom_site_fract_x
_atom_site_fract_y
_atom_site_fract_z
Ti1 Ti 0.000 0.000 0.000
H1 H 0.000 0.000 0.295
Ir1 Ir 0.000 0.500 0.250
```